Record 1
{"formula": "Pa2CoSe", "functional": "GGA-PBE", "state": "relaxed", "lattice_angstrom": [[1.875, 1.083, 7.333], [-1.875, 1.083, 7.333], [0.000, -2.165, 7.333]], "species": ["Pa", "Pa", "Co", "Se"], "fractional_positions": [[0.000, 0.000, 0.000], [0.191, 0.191, 0.191], [0.593, 0.593, 0.593], [0.762, 0.762, 0.762]], "e_above_lowest_polymorph_mev_per_atom": 69, "magmom_total_mub_per_fu": 0.00, "raw_formation_energy_ev_per_atom": -0.650}

Record 2
{"formula": "Pa3CoSe6", "functional": "GGA-PBE", "state": "relaxed", "lattice_angstrom": [[5.640, -6.618, 0.000], [5.640, 6.618, 0.000], [0.000, 0.000, 6.724]], "species": ["Pa", "Pa", "Pa", "Pa", "Pa", "Pa", "Co", "Co", "Se", "Se", "Se", "Se", "Se", "Se", "Se", "Se", "Se", "Se", "Se", "Se"], "fractional_positions": [[0.119, 0.881, 0.500], [0.235, 0.435, 0.401], [0.435, 0.235, 0.901], [0.565, 0.765, 0.401], [0.765, 0.565, 0.901], [0.881, 0.119, 0.000], [0.259, 0.741, 0.713], [0.741, 0.259, 0.213], [0.030, 0.565, 0.648], [0.132, 0.193, 0.698], [0.193, 0.132, 0.198], [0.274, 0.726, 0.186], [0.435, 0.970, 0.648], [0.458, 0.542, 0.710], [0.542, 0.458, 0.210], [0.565, 0.030, 0.148], [0.726, 0.274, 0.686], [0.807, 0.868, 0.698], [0.868, 0.807, 0.198], [0.970, 0.435, 0.148]], "magmom_total_mub_per_fu": 1.19, "raw_formation_energy_ev_per_atom": -1.145}

Record 3
{"formula": "Pa2CoSe", "functional": "GGA-PBE", "state": "relaxed", "lattice_angstrom": [[1.659, 0.958, 9.108], [-1.659, 0.958, 9.108], [0.000, -1.916, 9.108]], "species": ["Pa", "Pa", "Co", "Se"], "fractional_positions": [[0.085, 0.085, 0.085], [0.915, 0.915, 0.915], [0.000, 0.000, 0.000], [0.500, 0.500, 0.500]], "e_above_lowest_polymorph_mev_per_atom": 655, "magmom_total_mub_per_fu": 0.00, "raw_formation_energy_ev_per_atom": -0.064}

Record 4
{"formula": "Pa6CoSe12", "functional": "GGA-PBE", "state": "relaxed", "lattice_angstrom": [[6.216, 3.589, 3.756], [-6.216, 3.589, 3.756], [0.000, -7.178, 3.756]], "species": ["Pa", "Pa", "Pa", "Pa", "Pa", "Pa", "Co", "Se", "Se", "Se", "Se", "Se", "Se", "Se", "Se", "Se", "Se", "Se", "Se"], "fractional_positions": [[0.127, 0.631, 0.292], [0.292, 0.127, 0.631], [0.369, 0.708, 0.873], [0.631, 0.292, 0.127], [0.708, 0.873, 0.369], [0.873, 0.369, 0.708], [0.000, 0.000, 0.000], [0.030, 0.693, 0.936], [0.064, 0.970, 0.307], [0.178, 0.428, 0.568], [0.307, 0.064, 0.970], [0.428, 0.568, 0.178], [0.432, 0.822, 0.572], [0.568, 0.178, 0.428], [0.572, 0.432, 0.822], [0.693, 0.936, 0.030], [0.822, 0.572, 0.432], [0.936, 0.030, 0.693], [0.970, 0.307, 0.064]], "magmom_total_mub_per_fu": 9.08, "raw_formation_energy_ev_per_atom": -1.156}

Record 5
{"formula": "Pa5CoSe4", "functional": "GGA-PBE", "state": "relaxed", "lattice_angstrom": [[-4.513, 4.513, 2.862], [4.513, -4.513, 2.862], [4.513, 4.513, -2.862]], "species": ["Pa", "Pa", "Pa", "Pa", "Pa", "Co", "Se", "Se", "Se", "Se"], "fractional_positions": [[0.000, 0.000, 0.000], [0.224, 0.402, 0.626], [0.402, 0.776, 0.178], [0.598, 0.224, 0.822], [0.776, 0.598, 0.374], [0.500, 0.500, 0.000], [0.089, 0.693, 0.782], [0.307, 0.089, 0.397], [0.693, 0.911, 0.603], [0.911, 0.307, 0.218]], "magmom_total_mub_per_fu": 0.00, "raw_formation_energy_ev_per_atom": -1.014}

Record 6
{"formula": "SrPaCoSe4", "functional": "GGA-PBE", "state": "relaxed", "lattice_angstrom": [[6.846, 0.000, 0.000], [0.000, 5.967, 0.000], [-2.338, 0.000, 8.215]], "species": ["Sr", "Sr", "Pa", "Pa", "Co", "Co", "Se", "Se", "Se", "Se", "Se", "Se", "Se", "Se"], "fractional_positions": [[0.243, 0.250, 0.443], [0.757, 0.750, 0.557], [0.235, 0.250, 0.944], [0.765, 0.750, 0.056], [0.251, 0.750, 0.157], [0.749, 0.250, 0.843], [0.069, 0.750, 0.358], [0.072, 0.750, 0.890], [0.486, 0.506, 0.773], [0.486, 0.994, 0.773], [0.514, 0.006, 0.227], [0.514, 0.494, 0.227], [0.928, 0.250, 0.110], [0.931, 0.250, 0.642]], "magmom_total_mub_per_fu": 0.84, "raw_formation_energy_ev_per_atom": -1.192}

Record 7
{"formula": "PaTlCoSe4", "functional": "GGA-PBE", "state": "relaxed", "lattice_angstrom": [[6.889, 0.000, 0.000], [0.000, 5.899, 0.000], [-2.650, 0.000, 8.873]], "species": ["Pa", "Pa", "Tl", "Tl", "Co", "Co", "Se", "Se", "Se", "Se", "Se", "Se", "Se", "Se"], "fractional_positions": [[0.234, 0.250, 0.448], [0.766, 0.750, 0.552], [0.240, 0.250, 0.952], [0.760, 0.750, 0.048], [0.248, 0.750, 0.657], [0.752, 0.250, 0.343], [0.056, 0.750, 0.831], [0.071, 0.750, 0.402], [0.485, 0.506, 0.295], [0.485, 0.994, 0.295], [0.515, 0.006, 0.705], [0.515, 0.494, 0.705], [0.929, 0.250, 0.598], [0.944, 0.250, 0.169]], "magmom_total_mub_per_fu": 1.79, "raw_formation_energy_ev_per_atom": -0.776}

Record 8
{"formula": "PaTlCoSe3", "functional": "GGA-PBE", "state": "relaxed", "lattice_angstrom": [[1.942, -7.740, 0.000], [1.942, 7.740, 0.000], [0.000, 0.000, 10.340]], "species": ["Pa", "Pa", "Tl", "Tl", "Co", "Co", "Se", "Se", "Se", "Se", "Se", "Se"], "fractional_positions": [[0.000, 0.000, 0.000], [0.000, 0.000, 0.500], [0.247, 0.753, 0.750], [0.753, 0.247, 0.250], [0.473, 0.527, 0.250], [0.527, 0.473, 0.750], [0.070, 0.930, 0.250], [0.374, 0.626, 0.069], [0.374, 0.626, 0.431], [0.626, 0.374, 0.569], [0.626, 0.374, 0.931], [0.930, 0.070, 0.750]], "magmom_total_mub_per_fu": 1.01, "raw_formation_energy_ev_per_atom": -0.873}

Record 9
{"formula": "Pa3Tl3CoSe8", "functional": "GGA-PBE", "state": "relaxed", "lattice_angstrom": [[4.024, 2.323, 8.046], [-4.024, 2.323, 8.046], [0.000, -4.647, 8.046]], "species": ["Pa", "Pa", "Pa", "Tl", "Tl", "Tl", "Co", "Se", "Se", "Se", "Se", "Se", "Se", "Se", "Se"], "fractional_positions": [[0.000, 0.500, 0.500], [0.500, 0.000, 0.500], [0.500, 0.500, 0.000], [0.000, 0.000, 0.500], [0.000, 0.500, 0.000], [0.500, 0.000, 0.000], [0.000, 0.000, 0.000], [0.224, 0.224, 0.746], [0.224, 0.746, 0.224], [0.254, 0.776, 0.776], [0.263, 0.263, 0.263], [0.737, 0.737, 0.737], [0.746, 0.224, 0.224], [0.776, 0.254, 0.776], [0.776, 0.776, 0.254]], "magmom_total_mub_per_fu": 4.88, "raw_formation_energy_ev_per_atom": -0.865}

Record 10
{"formula": "PaCo5Si3", "functional": "GGA-PBE", "state": "relaxed", "lattice_angstrom": [[1.838, -5.759, 0.000], [1.838, 5.759, 0.000], [0.000, 0.000, 11.338]], "species": ["Pa", "Pa", "Co", "Co", "Co", "Co", "Co", "Co", "Co", "Co", "Co", "Co", "Si", "Si", "Si", "Si", "Si", "Si"], "fractional_positions": [[0.173, 0.827, 0.750], [0.827, 0.173, 0.250], [0.000, 0.000, 0.000], [0.000, 0.000, 0.500], [0.196, 0.804, 0.071], [0.196, 0.804, 0.429], [0.450, 0.550, 0.646], [0.450, 0.550, 0.854], [0.550, 0.450, 0.146], [0.550, 0.450, 0.354], [0.804, 0.196, 0.571], [0.804, 0.196, 0.929], [0.104, 0.896, 0.250], [0.382, 0.618, 0.040], [0.382, 0.618, 0.460], [0.618, 0.382, 0.540], [0.618, 0.382, 0.960], [0.896, 0.104, 0.750]], "magmom_total_mub_per_fu": 0.33, "raw_formation_energy_ev_per_atom": -0.522}

no.,density (g/cm3)
1,11.153
2,8.110
3,11.471
4,7.902
5,10.897
6,6.863
7,7.463
8,7.813
9,7.346
10,8.440